## BaNaHgBi (GGA-PBE)

Data for BaNaHgBi after structural relaxation.

Calculated values
Theoretical density in Mg/m³: 6.87
Space group: F-43m, No. 216
ΔE_f in meV per atom: -614.9
Calculated volume in Å³/atom: 34.452

```
BaNaHgBi
1.0
0.0000 4.0996 4.0996
4.0996 0.0000 4.0996
4.0996 4.0996 0.0000
Ba Na Hg Bi
1 1 1 1
direct
0.0000 0.0000 0.0000
0.5000 0.5000 0.5000
0.7500 0.7500 0.7500
0.2500 0.2500 0.2500
```